The following is a DFT calculation (PBE) of an optimized crystal structure of TlInRu2.

Summary:
* energy above the lowest structure with this stoichiometry: 273 meV per atom
* E_form: 0.566 eV/atom

Lattice parameters (Å, degrees): 5.2405 5.2405 5.2405 134.90 134.90 65.68
Fractional positions:
Ru 0.0000 0.0000 0.0000
In 0.7500 0.2500 0.5000
Tl 0.5000 0.5000 0.0000
Ru 0.2500 0.7500 0.5000

***

The following is a DFT calculation (PBE) of an optimized crystal structure of TlInRu.

Summary:
* energy above the lowest structure with this stoichiometry: 3 meV per atom
* E_form: 0.346 eV/atom

Lattice parameters (Å, degrees): 4.5671 4.5671 4.5671 60.00 60.00 60.00
Fractional positions:
Ru 0.7500 0.7500 0.7500
In 0.5000 0.5000 0.5000
Tl 0.0000 0.0000 0.0000

***

The following is a DFT calculation (PBE) of an optimized crystal structure of TlIn2Ru.

Summary:
* energy above the lowest structure with this stoichiometry: 207 meV per atom
* E_form: 0.305 eV/atom

Lattice parameters (Å, degrees): 4.6088 3.5217 6.0106 66.26 90.00 90.00
Fractional positions:
In 0.0000 0.1186 0.0258
Ru 0.5000 0.2500 0.2500
In 0.0000 0.3814 0.4742
Tl 0.5000 0.7500 0.7500